# ZnTcF5 (GGA-PBE, relaxed)
# Calculated total energy ... -4.96 eV per atom
# Uncorrected formation energy ... -1.958 eV per atom
data_ZnTcF5
_chemical_formula_sum 'Zn4 Tc4 F20'
_cell_length_a 8.347
_cell_length_b 7.192
_cell_length_c 7.971
_cell_angle_alpha 90.00
_cell_angle_beta 117.85
_cell_angle_gamma 90.00
_symmetry_space_group_name_H-M 'C 1 2/c 1'
_symmetry_Int_Tables_number 15
loop_
_symmetry_equiv_pos_as_xyz
'x,y,z'
'-x,-y,-z'
'-x,y,-z+1/2'
'x,-y,z+1/2'
'x+1/2,y+1/2,z'
'-x+1/2,-y+1/2,-z'
'-x+1/2,y+1/2,-z+1/2'
'x+1/2,-y+1/2,z+1/2'
loop_
_atom_site_label
_atom_site_type_symbol
_atom_site_fract_x
_atom_site_fract_y
_atom_site_fract_z
_atom_site_occupancy
Zn1 Zn 0.000 0.073 0.250 1
Tc1 Tc 0.000 0.500 0.000 1
F1 F 0.000 0.442 0.750 1
F2 F 0.038 0.223 0.470 1
F3 F 0.230 0.054 0.856 1